# 1
Here is a relaxed CsPaRuS4 crystal from the Alexandria database. Energies are from GGA-PBE.

Lattice parameters (Å, degrees): 6.7775 5.9201 9.4023 90.00 104.72 90.00
Closest atoms and distances in Å follow each position.
Atoms (fractional coordinates):
Cs 0.2490 0.2500 0.4524  8 S 3.48-3.74
Cs 0.7510 0.7500 0.5476  8 S 3.48-3.74
Pa 0.2471 0.2500 0.9639  6 S 2.64-2.84
Pa 0.7529 0.7500 0.0361  6 S 2.64-2.84
Ru 0.2608 0.7500 0.1418  4 S 2.26-2.28
Ru 0.7392 0.2500 0.8582  4 S 2.26-2.28
S 0.0381 0.7500 0.2871  1 Ru 2.28
S 0.0621 0.7500 0.9087  1 Ru 2.26
S 0.4794 0.5031 0.8116  1 Ru 2.27
S 0.4794 0.9969 0.8116  1 Ru 2.27
S 0.5206 0.0031 0.1884  1 Ru 2.27
S 0.5206 0.4969 0.1884  1 Ru 2.27
S 0.9379 0.2500 0.0913  1 Ru 2.26
S 0.9619 0.2500 0.7129  1 Ru 2.28

**Crystal system**: monoclinic
**Energy**: -43.52 eV/f.u.
**Formation energy without anion corrections**: -7.38 eV per formula unit


# 2
Here is a relaxed Cs3Pa3RuS8 crystal from the Alexandria database. Energies are from GGA-PBE.

Lattice parameters (Å, degrees): 9.5134 9.5134 9.5134 48.20 48.20 48.20
Closest atoms and distances in Å follow each position.
Atoms (fractional coordinates):
Cs 0.0000 0.5000 0.5000  6 S 3.43-3.50
Cs 0.5000 0.0000 0.5000  6 S 3.43-3.50
Cs 0.5000 0.5000 0.0000  6 S 3.43-3.50
Pa 0.0000 0.0000 0.5000  6 S 2.74-2.76
Pa 0.0000 0.5000 0.0000  6 S 2.74-2.76
Pa 0.5000 0.0000 0.0000  6 S 2.74-2.76
Ru 0.5000 0.5000 0.5000  6 S 2.54
S 0.2304 0.2304 0.2304  3 Pa 2.76
S 0.2473 0.7128 0.7128  1 Ru 2.54, 2 Pa 2.74
S 0.2872 0.2872 0.7527  1 Ru 2.54, 2 Pa 2.74
S 0.2872 0.7527 0.2872  1 Ru 2.54, 2 Pa 2.74
S 0.7128 0.2473 0.7128  1 Ru 2.54, 2 Pa 2.74
S 0.7128 0.7128 0.2473  1 Ru 2.54, 2 Pa 2.74
S 0.7527 0.2872 0.2872  1 Ru 2.54, 2 Pa 2.74
S 0.7696 0.7696 0.7696  3 Pa 2.76

**Crystal system**: trigonal
**Energy**: -92.47 eV/f.u.
**Formation energy without anion corrections**: -19.12 eV per formula unit


Repeat the first record exactly.
Here is a relaxed CsPaRuS4 crystal from the Alexandria database. Energies are from GGA-PBE.

Lattice parameters (Å, degrees): 6.7775 5.9201 9.4023 90.00 104.72 90.00
Closest atoms and distances in Å follow each position.
Atoms (fractional coordinates):
Cs 0.2490 0.2500 0.4524  8 S 3.48-3.74
Cs 0.7510 0.7500 0.5476  8 S 3.48-3.74
Pa 0.2471 0.2500 0.9639  6 S 2.64-2.84
Pa 0.7529 0.7500 0.0361  6 S 2.64-2.84
Ru 0.2608 0.7500 0.1418  4 S 2.26-2.28
Ru 0.7392 0.2500 0.8582  4 S 2.26-2.28
S 0.0381 0.7500 0.2871  1 Ru 2.28
S 0.0621 0.7500 0.9087  1 Ru 2.26
S 0.4794 0.5031 0.8116  1 Ru 2.27
S 0.4794 0.9969 0.8116  1 Ru 2.27
S 0.5206 0.0031 0.1884  1 Ru 2.27
S 0.5206 0.4969 0.1884  1 Ru 2.27
S 0.9379 0.2500 0.0913  1 Ru 2.26
S 0.9619 0.2500 0.7129  1 Ru 2.28

**Crystal system**: monoclinic
**Energy**: -43.52 eV/f.u.
**Formation energy without anion corrections**: -7.38 eV per formula unit


Please write out number 2 again, unchanged.
Here is a relaxed Cs3Pa3RuS8 crystal from the Alexandria database. Energies are from GGA-PBE.

Lattice parameters (Å, degrees): 9.5134 9.5134 9.5134 48.20 48.20 48.20
Closest atoms and distances in Å follow each position.
Atoms (fractional coordinates):
Cs 0.0000 0.5000 0.5000  6 S 3.43-3.50
Cs 0.5000 0.0000 0.5000  6 S 3.43-3.50
Cs 0.5000 0.5000 0.0000  6 S 3.43-3.50
Pa 0.0000 0.0000 0.5000  6 S 2.74-2.76
Pa 0.0000 0.5000 0.0000  6 S 2.74-2.76
Pa 0.5000 0.0000 0.0000  6 S 2.74-2.76
Ru 0.5000 0.5000 0.5000  6 S 2.54
S 0.2304 0.2304 0.2304  3 Pa 2.76
S 0.2473 0.7128 0.7128  1 Ru 2.54, 2 Pa 2.74
S 0.2872 0.2872 0.7527  1 Ru 2.54, 2 Pa 2.74
S 0.2872 0.7527 0.2872  1 Ru 2.54, 2 Pa 2.74
S 0.7128 0.2473 0.7128  1 Ru 2.54, 2 Pa 2.74
S 0.7128 0.7128 0.2473  1 Ru 2.54, 2 Pa 2.74
S 0.7527 0.2872 0.2872  1 Ru 2.54, 2 Pa 2.74
S 0.7696 0.7696 0.7696  3 Pa 2.76

**Crystal system**: trigonal
**Energy**: -92.47 eV/f.u.
**Formation energy without anion corrections**: -19.12 eV per formula unit


Q: formation energy without anion corrections of number 2 (Cs3Pa3RuS8)?
A: -19.12 eV per formula unit


Q: What is the formula in the second record?
A: Cs3Pa3RuS8